1.
Density functional theory data (PBE) for crystalline NbAsS at its relaxed geometry.

Unit cell a=5.9602 b=5.0367 c=6.4522 alpha=61.04 beta=47.68 gamma=71.29
With the nearest neighbours (Å) after each atom.
Atoms (fractional coordinates):
Nb: 0.0000 0.0000 0.0000  4 S 2.42-2.62, 2 As 2.60
Nb: 0.4981 0.4981 0.5019  4 S 2.42-2.63, 2 As 2.60
As: 0.3377 0.8376 0.1624  2 Nb 2.60
As: 0.8376 0.3377 0.6623  2 Nb 2.60
S: 0.0256 0.5262 0.9744  4 Nb 2.42-2.63
S: 0.5262 0.0256 0.4738  4 Nb 2.42-2.63

Computed properties:
Energy relative to the elements, uncorrected in eV per formula unit: -0.6
Density of states at the Fermi level in states/eV per cell: 3.395
Theoretical density in g cm⁻³: 5.30
Symmetry: Fmm2 (42)



2.
Density functional theory data (PBE) for crystalline Zn2TcOs at its relaxed geometry.

Unit cell a=2.6822 b=4.4078 c=4.9100 alpha=90.00 beta=96.33 gamma=90.00
With the nearest neighbours (Å) after each atom.
Atoms (fractional coordinates):
Zn: 0.2256 0.0000 0.2480  5 Zn 2.60-2.87, 2 Os 2.63, 2 Tc 2.66
Zn: 0.7744 0.0000 0.7520  5 Zn 2.60-2.87, 2 Os 2.63, 2 Tc 2.66
Tc: 0.5000 0.5000 0.0000  4 Zn 2.66, 4 Os 2.66-2.92, 2 Tc 2.68
Os: 0.0000 0.5000 0.5000  4 Zn 2.63, 4 Tc 2.66-2.92, 2 Os 2.68

Computed properties:
DFT formation energy in meV per atom: 244.8
Density of states at the Fermi level in states/eV per cell: 3.572
Theoretical density in g cm⁻³: 12.06
Symmetry: P2/m (10)
Polymorph energy (0 for the lowest one) in meV per atom: 262



3.
Density functional theory data (PBE) for crystalline ScVTeN2 at its relaxed geometry.

Unit cell a=4.0583 b=4.0583 c=5.7866 alpha=90.00 beta=90.00 gamma=90.00
With the nearest neighbours (Å) after each atom.
Atoms (fractional coordinates):
Sc: 0.0000 0.0000 0.0000  4 N 2.03
V: 0.5000 0.5000 0.5000  4 Te 2.87
Te: 0.0000 0.0000 0.5000  4 V 2.87, 2 Sc 2.89
N: 0.0000 0.5000 0.0000  2 Sc 2.03
N: 0.5000 0.0000 0.0000  2 Sc 2.03

Computed properties:
Energy relative to the elements, uncorrected in eV per formula unit: 4.7
Density of states at the Fermi level in states/eV per cell: 8.391
Theoretical density in g cm⁻³: 4.38
Symmetry: P4/mmm (123)
Polymorph energy (0 for the lowest one) in meV per atom: 958



4.
Density functional theory data (PBE) for crystalline Sb3RuSe at its relaxed geometry.

Unit cell a=5.1156 b=5.1156 c=5.1156 alpha=90.00 beta=90.00 gamma=90.00
With the nearest neighbours (Å) after each atom.
Atoms (fractional coordinates):
Sb: 0.0000 0.0000 0.5000  2 Ru 2.56
Sb: 0.0000 0.5000 0.0000  2 Ru 2.56
Sb: 0.5000 0.0000 0.0000  2 Ru 2.56
Ru: 0.0000 0.0000 0.0000  6 Sb 2.56
Se: 0.5000 0.5000 0.5000  12 Sb 3.62

Computed properties:
Energy relative to the elements, uncorrected in eV per formula unit: 1.8
Density of states at the Fermi level in states/eV per cell: 4.919
Theoretical density in g cm⁻³: 6.76
Symmetry: Pm-3m (221)
Polymorph energy (0 for the lowest one) in meV per atom: 0



5.
Density functional theory data (PBE) for crystalline FeReSi at its relaxed geometry.

Unit cell a=2.7171 b=2.7171 c=6.0227 alpha=90.00 beta=90.00 gamma=120.00
With the nearest neighbours (Å) after each atom.
Atoms (fractional coordinates):
Fe: 0.0000 0.0000 0.0000  3 Si 2.42, 3 Re 2.56
Re: 0.6667 0.3333 0.3369  3 Fe 2.56, 3 Si 2.67, 6 Re 2.72
Si: 0.3333 0.6667 0.6948  3 Fe 2.42, 3 Re 2.67

Computed properties:
Energy relative to the elements, uncorrected in eV per formula unit: -0.2
Density of states at the Fermi level in states/eV per cell: 1.243
Theoretical density in g cm⁻³: 11.65
Symmetry: P3m1 (156)



6.
Density functional theory data (PBE) for crystalline Ac4Sm5Er at its relaxed geometry.

Unit cell a=9.7579 b=9.7579 c=8.7792 alpha=115.37 beta=115.37 gamma=32.63
With the nearest neighbours (Å) after each atom.
Atoms (fractional coordinates):
Ac: 0.0219 0.0219 0.2663  6 Sm 3.51-3.80, 2 Er 3.56, 2 Ac 3.75
Ac: 0.3255 0.3255 0.5767  1 Er 3.62, 7 Sm 3.63-3.81, 4 Ac 3.73-3.75
Ac: 0.6745 0.6745 0.4233  1 Er 3.62, 7 Sm 3.63-3.81, 4 Ac 3.73-3.75
Ac: 0.9781 0.9781 0.7337  6 Sm 3.51-3.80, 2 Er 3.56, 2 Ac 3.75
Sm: 0.1657 0.1657 0.7032  5 Ac 3.57-3.73, 3 Sm 3.61-3.79, 2 Er 3.92
Sm: 0.1787 0.1787 0.1262  3 Sm 3.61-3.79, 5 Ac 3.66-3.81
Sm: 0.5000 0.5000 0.0000  6 Ac 3.51-3.69
Sm: 0.8213 0.8213 0.8738  3 Sm 3.61-3.79, 5 Ac 3.66-3.81
Sm: 0.8343 0.8343 0.2968  5 Ac 3.57-3.73, 3 Sm 3.61-3.79, 2 Er 3.92
Er: 0.5000 0.5000 0.5000  6 Ac 3.56-3.62, 4 Sm 3.92

Computed properties:
DFT formation energy in meV per atom: 302.7
Density of states at the Fermi level in states/eV per cell: 13.974
Theoretical density in g cm⁻³: 7.52
Symmetry: C2/m (12)



7.
Density functional theory data (PBE) for crystalline BeGa at its relaxed geometry.

Unit cell a=3.8290 b=10.5751 c=4.1471 alpha=90.00 beta=90.00 gamma=90.00
With the nearest neighbours (Å) after each atom.
Atoms (fractional coordinates):
Be: 0.2500 0.1456 0.1793  3 Be 2.21-2.28, 3 Ga 2.34-2.36
Be: 0.2500 0.3544 0.1793  3 Be 2.21-2.28, 3 Ga 2.34-2.36
Be: 0.2500 0.7500 0.6829  4 Be 2.28, 2 Ga 2.43
Be: 0.7500 0.2500 0.3171  4 Be 2.28, 2 Ga 2.43
Be: 0.7500 0.6456 0.8207  3 Be 2.21-2.28, 3 Ga 2.34-2.36
Be: 0.7500 0.8544 0.8207  3 Be 2.21-2.28, 3 Ga 2.34-2.36
Ga: 0.2500 0.2500 0.6765  6 Be 2.34-2.43
Ga: 0.2500 0.5771 0.1563  3 Be 2.36-2.48
Ga: 0.2500 0.9229 0.1563  3 Be 2.36-2.48
Ga: 0.7500 0.0771 0.8437  3 Be 2.36-2.48
Ga: 0.7500 0.4229 0.8437  3 Be 2.36-2.48
Ga: 0.7500 0.7500 0.3235  6 Be 2.34-2.43

Computed properties:
DFT formation energy in meV per atom: 228.9
Density of states at the Fermi level in states/eV per cell: 2.656
Theoretical density in g cm⁻³: 4.67
Symmetry: Pmmn (59)
Polymorph energy (0 for the lowest one) in meV per atom: 72



8.
Density functional theory data (PBE) for crystalline MnBi3Se6 at its relaxed geometry.

Unit cell a=10.2328 b=4.0519 c=14.1688 alpha=90.00 beta=104.38 gamma=90.00
With the nearest neighbours (Å) after each atom.
Atoms (fractional coordinates):
Mn: 0.0500 0.2500 0.1225  6 Se 2.49-2.74
Mn: 0.9500 0.7500 0.8775  6 Se 2.49-2.74
Bi: 0.1099 0.2500 0.6305  3 Se 2.76-2.79
Bi: 0.3457 0.2500 0.3983  5 Se 2.85-3.12
Bi: 0.3519 0.7500 0.0454  6 Se 2.81-3.14
Bi: 0.6481 0.2500 0.9546  6 Se 2.81-3.14
Bi: 0.6543 0.7500 0.6017  5 Se 2.85-3.12
Bi: 0.8901 0.7500 0.3695  3 Se 2.76-2.79
Se: 0.1083 0.7500 0.7656  1 Mn 2.53, 2 Bi 2.79
Se: 0.1162 0.2500 0.9649  3 Mn 2.49-2.74
Se: 0.1588 0.7500 0.4694  1 Bi 2.76
Se: 0.2038 0.7500 0.1987  2 Mn 2.63, 1 Bi 2.94
Se: 0.4551 0.2500 0.6037  3 Bi 2.85-2.88
Se: 0.4686 0.7500 0.8674  3 Bi 2.81-3.05
Se: 0.5314 0.2500 0.1326  3 Bi 2.81-3.05
Se: 0.5449 0.7500 0.3963  3 Bi 2.85-2.88
Se: 0.7962 0.2500 0.8013  2 Mn 2.63, 1 Bi 2.94
Se: 0.8412 0.2500 0.5306  1 Bi 2.76
Se: 0.8838 0.7500 0.0351  3 Mn 2.49-2.74
Se: 0.8917 0.2500 0.2344  1 Mn 2.53, 2 Bi 2.79

Computed properties:
Energy relative to the elements, uncorrected in eV per formula unit: -3.5
Density of states at the Fermi level in states/eV per cell: 6.371
Theoretical density in g cm⁻³: 6.74
Symmetry: P2_1/m (11)
Polymorph energy (0 for the lowest one) in meV per atom: 0



9.
Density functional theory data (PBE) for crystalline Y2HgAs2 at its relaxed geometry.

Unit cell a=6.3373 b=6.3373 c=6.3373 alpha=131.74 beta=131.74 gamma=70.64
With the nearest neighbours (Å) after each atom.
Atoms (fractional coordinates):
Y: 0.2500 0.7500 0.5000  4 As 2.86
Y: 0.7500 0.2500 0.5000  4 As 2.86
Hg: 0.0000 0.0000 0.0000  8 Y 3.66, 10 As 3.80-3.91
As: 0.3671 0.3671 0.0000  1 As 2.75, 4 Y 2.86
As: 0.6329 0.6329 0.0000  1 As 2.75, 4 Y 2.86

Computed properties:
DFT formation energy in meV per atom: -738.4
Density of states at the Fermi level in states/eV per cell: 3.776
Theoretical density in g cm⁻³: 6.32
Symmetry: I4/mmm (139)



10.
Density functional theory data (PBE) for crystalline LaNdPbAu at its relaxed geometry.

Unit cell a=5.4823 b=5.4823 c=5.4823 alpha=60.00 beta=60.00 gamma=60.00
With the nearest neighbours (Å) after each atom.
Atoms (fractional coordinates):
La: 0.0000 0.0000 0.0000  4 Pb 3.36, 4 Au 3.36
Nd: 0.5000 0.5000 0.5000  4 Pb 3.36, 4 Au 3.36
Pb: 0.2500 0.2500 0.2500  4 La 3.36, 4 Nd 3.36
Au: 0.7500 0.7500 0.7500  4 La 3.36, 4 Nd 3.36

Computed properties:
DFT formation energy in meV per atom: -634.9
Density of states at the Fermi level in states/eV per cell: 2.538
Theoretical density in g cm⁻³: 9.80
Symmetry: F-43m (216)